{
  "formula": "PaICl2",
  "functional": "GGA-PBE",
  "state": "optimized geometry",
  "lattice_angstrom": [[6.7678, -0.4187, -2.4592], [-3.4562, 5.8338, -2.4592], [-0.0720, -0.1178, 7.8769]],
  "species": ["Pa", "Pa", "I", "I", "Cl", "Cl", "Cl", "Cl"],
  "frac_coords": [[0.1050, 0.4357, 0.4113], [0.4357, 0.1050, 0.9113], [0.6090, 0.9005, 0.6389], [0.9005, 0.6090, 0.1389], [0.2534, 0.2657, 0.6631], [0.6595, 0.0188, 0.2004], [0.2657, 0.2534, 0.1631], [0.0188, 0.6595, 0.7004]]
}

{
  "formula": "Pa2I3Cl",
  "functional": "GGA-PBE",
  "state": "optimized geometry",
  "lattice_angstrom": [[3.6291, 0.0000, 0.7474], [1.9390, 10.3141, -0.2308], [-0.4304, -3.2540, 11.2741]],
  "species": ["Pa", "Pa", "Pa", "Pa", "I", "I", "I", "I", "I", "I", "Cl", "Cl"],
  "frac_coords": [[0.8766, 0.3668, 0.8801], [0.1234, 0.6332, 0.1199], [0.6239, 0.1200, 0.6322], [0.3761, 0.8800, 0.3678], [0.0664, 0.0476, 0.8196], [0.9336, 0.9524, 0.1804], [0.6985, 0.6822, 0.9208], [0.3015, 0.3178, 0.0792], [0.8269, 0.7972, 0.5490], [0.1731, 0.2028, 0.4510], [0.4409, 0.4068, 0.7114], [0.5591, 0.5932, 0.2886]]
}

| no. | raw formation energy (eV per atom) |
| --- | --- |
| 1 | -1.38 |
| 2 | -0.94 |